Entry 1:
DFT (PBE) results for an optimized crystal structure of KFe2MoRu.

a = 4.4316 Å, b = 4.4316 Å, c = 4.8691 Å
α = 90.00°, β = 90.00°, γ = 90.00°
Atoms (fractional coordinates):
K: 0.0000 0.0000 0.0000
Fe: 0.0000 0.5000 0.5000
Fe: 0.5000 0.0000 0.5000
Mo: 0.5000 0.5000 0.0000
Ru: 0.0000 0.0000 0.5000

Values from the calculation:
Space-group type ... P4/mmm
Electronic total energy ... -5.212 eV per atom

=====

Entry 2:
DFT (PBE) results for an optimized crystal structure of KFeN3.

a = 3.7833 Å, b = 3.7833 Å, c = 3.7833 Å
α = 90.00°, β = 90.00°, γ = 90.00°
Atoms (fractional coordinates):
K: 0.0000 0.0000 0.0000
Fe: 0.5000 0.5000 0.5000
N: 0.0000 0.5000 0.5000
N: 0.5000 0.0000 0.5000
N: 0.5000 0.5000 0.0000

Values from the calculation:
Formation energy without anion corrections ... 1.162 eV per atom
Space-group type ... Pm-3m